First-principles (PBE) data for a relaxed KBe2P crystal, as listed in Alexandria via LeMat-Bulk.

Properties
Its total energy is -2.894 eV/atom. The formation enthalpy at 0 K is 0.596 eV/atom.

a = 2.9520 Å, b = 3.2634 Å, c = 7.3508 Å
α = 90.00°, β = 90.00°, γ = 90.00°
Closest atoms and distances in Å follow each position.
Space group Pmmm (No. 47)
Unique sites:
K 0.0000 0.0000 0.0000 x1  4 K 2.95-3.26
Be 0.5000 0.5000 0.3625 x2  1 Be 2.02
P 0.0000 0.0000 0.5000 x1  8 Be 2.42